No. 1
# PBE NdNi2Pt, relaxed
data_NdNi2Pt
_cell_length_a 4.2755
_cell_length_b 4.2755
_cell_length_c 9.1802
_cell_angle_alpha 90.00
_cell_angle_beta 90.00
_cell_angle_gamma 120.00
_symmetry_space_group_name_H-M 'P 63/m m c'
_symmetry_Int_Tables_number 194
_symmetry_space_group_name_Hall '-P 6c 2c'
loop_
_atom_site_label
_atom_site_fract_x
_atom_site_fract_y
_atom_site_fract_z
_atom_site_occupancy
Nd1 0.3333 0.6667 0.2500 1
Ni1 0.3333 0.6667 0.5468 1
Pt1 0.0000 0.0000 0.0000 1
# * energy of formation from the pure elements: -0.51 eV/atom


No. 2
# PBE SmB6Mo2, relaxed
data_SmB6Mo2
_cell_length_a 5.4062
_cell_length_b 5.4062
_cell_length_c 3.5656
_cell_angle_alpha 90.00
_cell_angle_beta 90.00
_cell_angle_gamma 120.00
_symmetry_space_group_name_H-M 'P 6/m m m'
_symmetry_Int_Tables_number 191
_symmetry_space_group_name_Hall '-P 6 2'
loop_
_atom_site_label
_atom_site_fract_x
_atom_site_fract_y
_atom_site_fract_z
_atom_site_occupancy
Sm1 0.0000 0.0000 0.0000 1
B1 0.0000 0.3424 0.5000 1
Mo1 0.3333 0.6667 0.0000 1
# * energy of formation from the pure elements: -0.30 eV/atom


No. 3
# PBE InTc, relaxed
data_InTc
_cell_length_a 5.242
_cell_length_b 5.242
_cell_length_c 5.242
_cell_angle_alpha 90.00
_cell_angle_beta 90.00
_cell_angle_gamma 90.00
_symmetry_space_group_name_H-M 'P 21 3'
_symmetry_Int_Tables_number 198
_symmetry_space_group_name_Hall 'P 2ac 2ab 3'
loop_
_atom_site_label
_atom_site_fract_x
_atom_site_fract_y
_atom_site_fract_z
_atom_site_occupancy
In1 0.097 0.403 0.597 1
Tc1 0.107 0.893 0.393 1
# * energy of formation from the pure elements: 0.47 eV/atom